DFT (PBE with a Hubbard U) results for crystalline K2WSeO6 at its relaxed geometry.

Values from the calculation:
- N(E_F) (states/eV per cell) = 0.00
- final energy (eV per atom) = -5.7437
- total moment (μB per formula unit) = 0.000
- symmetry = Fm-3m (225)
- ρ (g/cm3) = 5.56

a = 5.6921 Å, b = 5.6921 Å, c = 5.6921 Å
α = 60.00°, β = 60.00°, γ = 60.00°
Last column: nearest neighbours and their distance in Å.
Element x y z (fractional)
K (0.2500, 0.2500, 0.2500)  12 O 2.85
K (0.7500, 0.7500, 0.7500)  12 O 2.85
W (0.0000, 0.0000, 0.0000)  6 O 1.96
Se (0.5000, 0.5000, 0.5000)  6 O 2.07
O (0.2433, 0.2433, 0.7567)  1 W 1.96, 1 Se 2.07
O (0.2433, 0.7567, 0.2433)  1 W 1.96, 1 Se 2.07
O (0.2433, 0.7567, 0.7567)  1 W 1.96, 1 Se 2.07
O (0.7567, 0.2433, 0.2433)  1 W 1.96, 1 Se 2.07
O (0.7567, 0.2433, 0.7567)  1 W 1.96, 1 Se 2.07
O (0.7567, 0.7567, 0.2433)  1 W 1.96, 1 Se 2.07